{"formula": "CaFe2Si2B", "functional": "PBE-GGA", "state": "optimized geometry", "density_g_cm3": 4.6, "e_form_raw_ev_per_atom": -0.416, "magmom_total_mub_per_atom": 0.00, "cell": [[3.8864, 0.0000, 0.0000], [0.0000, 3.8864, 0.0000], [0.0000, 0.0000, 5.2722]], "species": ["Ca", "Fe", "Fe", "Si", "Si", "B"], "frac_coords": [[0.0000, 0.0000, 0.0000], [0.0000, 0.5000, 0.5000], [0.5000, 0.0000, 0.5000], [0.5000, 0.5000, 0.2366], [0.5000, 0.5000, 0.7634], [0.0000, 0.0000, 0.5000]]}